# MgNb3S

Crystalline MgNb3S at its relaxed geometry (PBE, the Alexandria database).

Summary:
Formation energy without anion corrections   0.46 eV per formula unit
Density of states at the Fermi level   6.542 states/eV/f.u.
ΔE to the lowest computed polymorph   0.0 meV per atom
DFT total energy   -35.473 eV/cell

Cell: 4.6291 4.6291 4.6291 Å, 90.00 90.00 90.00°
Closest atoms and distances in Å follow each position.
Element x y z (fractional)
Mg 0.0000 0.0000 0.0000  12 Nb 3.27
Nb 0.0000 0.5000 0.5000  2 S 2.31
Nb 0.5000 0.0000 0.5000  2 S 2.31
Nb 0.5000 0.5000 0.0000  2 S 2.31
S 0.5000 0.5000 0.5000  6 Nb 2.31


# Mg2NbS

Crystalline Mg2NbS at its relaxed geometry (PBE, the Alexandria database).

Summary:
Formation energy without anion corrections   0.09 eV per formula unit
Density of states at the Fermi level   3.935 states/eV/f.u.
DFT total energy   -69.202 eV/cell

Cell: 7.8241 7.8241 5.0333 Å, 90.00 90.00 90.00°
Closest atoms and distances in Å follow each position.
Element x y z (fractional)
Mg 0.1858 0.2500 0.1250  2 S 2.52, 2 Mg 2.71
Mg 0.2500 0.6858 0.3750  2 S 2.52, 2 Mg 2.71
Mg 0.2500 0.8142 0.8750  2 S 2.52, 2 Mg 2.71
Mg 0.3142 0.2500 0.6250  2 S 2.52, 2 Mg 2.71
Mg 0.6858 0.7500 0.6250  2 S 2.52, 2 Mg 2.71
Mg 0.7500 0.1858 0.8750  2 S 2.52, 2 Mg 2.71
Mg 0.7500 0.3142 0.3750  2 S 2.52, 2 Mg 2.71
Mg 0.8142 0.7500 0.1250  2 S 2.52, 2 Mg 2.71
Nb 0.0000 0.0000 0.5000  2 S 2.52
Nb 0.0000 0.5000 0.7500  2 S 2.52
Nb 0.5000 0.0000 0.2500  2 S 2.52
Nb 0.5000 0.5000 0.0000  2 S 2.52
S 0.0000 0.0000 0.0000  2 Nb 2.52, 4 Mg 2.52
S 0.0000 0.5000 0.2500  2 Nb 2.52, 4 Mg 2.52
S 0.5000 0.0000 0.7500  2 Nb 2.52, 4 Mg 2.52
S 0.5000 0.5000 0.5000  2 Nb 2.52, 4 Mg 2.52


# MgNbS3

Crystalline MgNbS3 at its relaxed geometry (PBE, the Alexandria database).

Summary:
Formation energy without anion corrections   -2.50 eV per formula unit
Density of states at the Fermi level   2.405 states/eV/f.u.
ΔE to the lowest computed polymorph   0.0 meV per atom
DFT total energy   -26.545 eV/cell

Cell: 4.8054 4.8054 4.8054 Å, 90.00 90.00 90.00°
Closest atoms and distances in Å follow each position.
Element x y z (fractional)
Mg 0.0000 0.0000 0.0000  12 S 3.40
Nb 0.5000 0.5000 0.5000  6 S 2.40
S 0.0000 0.5000 0.5000  2 Nb 2.40
S 0.5000 0.0000 0.5000  2 Nb 2.40
S 0.5000 0.5000 0.0000  2 Nb 2.40


Q: The highest formation energy without anion corrections belongs to which entry?
A: MgNb3S